# 1
# TaCrAs

Crystalline TaCrAs at its relaxed geometry (GGA-PBE, the Alexandria database).

Calculated values
**Size of the total moment**: 0.00 μB/f.u.
**Space group**: C2/m, No. 12
**Volume**: 16.5 Å³ per atom
**N(E_F)**: 9.5 states/eV per cell
**Energy of formation from the pure elements**: 0.075 eV/atom

Lattice parameters (Å, degrees): 3.0782 8.4196 7.8418 95.85 101.32 90.00
Last column: nearest neighbours and their distance in Å.
Sites, in units of the cell vectors:
As 0.3872 0.3981 0.7745  3 Cr 2.51-2.52, 3 Ta 2.61-2.69
As 0.6476 0.0827 0.2951  3 Cr 2.49-2.50, 4 Ta 2.66-2.74
As 0.6128 0.6019 0.2255  3 Cr 2.51-2.52, 3 Ta 2.61-2.69
As 0.3524 0.9173 0.7049  3 Cr 2.49-2.50, 4 Ta 2.66-2.74
Cr 0.7270 0.8398 0.4540  2 Cr 2.37, 4 As 2.49-2.52
Cr 0.7576 0.3697 0.5152  2 Cr 2.37, 2 As 2.51, 2 Ta 2.65
Cr 0.2730 0.1602 0.5460  2 Cr 2.37, 4 As 2.49-2.52
Cr 0.2424 0.6303 0.4848  2 Cr 2.37, 2 As 2.51, 2 Ta 2.65
Ta 0.8832 0.6596 0.7664  3 Cr 2.65-2.95, 4 As 2.69-2.74, 2 Ta 2.86
Ta 0.5160 0.8395 0.0319  3 As 2.61-2.73, 3 Ta 2.80-2.86
Ta 0.4840 0.1605 0.9681  3 As 2.61-2.73, 3 Ta 2.80-2.86
Ta 0.1168 0.3404 0.2336  3 Cr 2.65-2.95, 4 As 2.69-2.74, 2 Ta 2.86

***

# 2
# TaCrAs

Crystalline TaCrAs at its relaxed geometry (GGA-PBE, the Alexandria database).

Calculated values
**Size of the total moment**: 1.73 μB/f.u.
**Space group**: Fmm2, No. 42
**Volume**: 15.7 Å³ per atom
**N(E_F)**: 2.3 states/eV per cell
**Energy of formation from the pure elements**: 0.101 eV/atom

Lattice parameters (Å, degrees): 6.0990 5.9088 2.9460 79.41 72.24 28.35
Last column: nearest neighbours and their distance in Å.
Sites, in units of the cell vectors:
As 0.9897 0.9897 0.0103  2 Cr 2.43, 2 Ta 2.68
Ta 0.6668 0.6668 0.3332  2 Cr 2.68, 2 As 2.68, 4 Ta 2.95
Cr 0.3435 0.3435 0.6565  2 As 2.43, 2 Ta 2.68

***

# 3
# TaCr2TcAs

Crystalline TaCr2TcAs at its relaxed geometry (GGA-PBE, the Alexandria database).

Calculated values
**Size of the total moment**: 2.60 μB/f.u.
**Space group**: P4/mmm, No. 123
**Volume**: 18.1 Å³ per atom
**N(E_F)**: 2.9 states/eV per cell
**Energy of formation from the pure elements**: 1.093 eV/atom

Lattice parameters (Å, degrees): 4.3536 4.7645 4.3536 90.00 90.00 90.00
Last column: nearest neighbours and their distance in Å.
Sites, in units of the cell vectors:
Cr 0.5000 0.0000 0.0000  2 As 2.18
Cr 0.0000 0.0000 0.5000  2 As 2.18
Ta 0.0000 0.5000 0.0000  2 As 2.38
Tc 0.5000 0.5000 0.5000  4 Ta 3.08, 8 Cr 3.23
As 0.0000 0.0000 0.0000  4 Cr 2.18, 2 Ta 2.38

***

# 4
# TaZnCr2As

Crystalline TaZnCr2As at its relaxed geometry (GGA-PBE, the Alexandria database).

Calculated values
**Size of the total moment**: 6.19 μB/f.u.
**Space group**: P4/mmm, No. 123
**Volume**: 19.8 Å³ per atom
**N(E_F)**: 6.1 states/eV per cell
**Energy of formation from the pure elements**: 0.881 eV/atom

Lattice parameters (Å, degrees): 4.5442 4.8045 4.5442 90.00 90.00 90.00
Last column: nearest neighbours and their distance in Å.
Sites, in units of the cell vectors:
Cr 0.0000 0.0000 0.5000  2 As 2.27
Cr 0.5000 0.0000 0.0000  2 As 2.27
Ta 0.0000 0.5000 0.0000  2 As 2.40
Zn 0.5000 0.5000 0.5000  4 Ta 3.21, 8 Cr 3.31
As 0.0000 0.0000 0.0000  4 Cr 2.27, 2 Ta 2.40

***

# 5
# TbCrAs

Crystalline TbCrAs at its relaxed geometry (GGA-PBE, the Alexandria database).

Calculated values
**Size of the total moment**: 2.09 μB/f.u.
**Space group**: P-62m, No. 189
**Volume**: 18.9 Å³ per atom
**N(E_F)**: 4.4 states/eV per cell
**Energy of formation from the pure elements**: -0.618 eV/atom

Lattice parameters (Å, degrees): 3.9634 7.0414 7.0414 120.00 90.00 90.00
Last column: nearest neighbours and their distance in Å.
Sites, in units of the cell vectors:
Tb 0.0000 0.4071 0.0000  5 As 2.87-2.91, 4 Cr 3.18
Tb 0.0000 0.5929 0.5929  5 As 2.87-2.91, 4 Cr 3.18
Tb 0.0000 0.0000 0.4071  5 As 2.87-2.91, 4 Cr 3.18
As 0.5000 0.6667 0.3333  3 Cr 2.79, 6 Tb 2.91
As 0.5000 0.3333 0.6667  3 Cr 2.79, 6 Tb 2.91
As 0.0000 0.0000 0.0000  6 Cr 2.55
Cr 0.5000 0.0000 0.7724  4 As 2.55-2.79, 2 Cr 2.78
Cr 0.5000 0.7724 0.0000  4 As 2.55-2.79, 2 Cr 2.78
Cr 0.5000 0.2276 0.2276  4 As 2.55-2.79, 2 Cr 2.78

***

# 6
# TbCrAs2

Crystalline TbCrAs2 at its relaxed geometry (GGA-PBE, the Alexandria database).

Calculated values
**Size of the total moment**: 2.80 μB/f.u.
**Space group**: R-3m, No. 166
**Volume**: 20.3 Å³ per atom
**N(E_F)**: 0.8 states/eV per cell
**Energy of formation from the pure elements**: -0.779 eV/atom

Lattice parameters (Å, degrees): 3.9444 3.9444 6.4358 72.16 72.16 60.00
Last column: nearest neighbours and their distance in Å.
Sites, in units of the cell vectors:
As 0.7354 0.7354 0.7939  3 Cr 2.59, 3 Tb 2.88
As 0.2646 0.2646 0.2061  3 Cr 2.59, 3 Tb 2.88
Cr 0.0000 0.0000 0.0000  6 As 2.59
Tb 0.5000 0.5000 0.5000  6 As 2.88